{"formula": "La2PtO", "functional": "PBE", "state": "optimized geometry", "magnetic_moment_mub_per_atom": 0.0000, "dos_ef_per_ev_fu": 2.4, "e_tot_ev_per_fu": -28.20, "sg": "No. 122", "raw_formation_energy_mev_per_atom": -1836, "lattice": [[-3.417, 3.417, 4.307], [3.417, -3.417, 4.307], [3.417, 3.417, -4.307]], "species": ["La", "La", "La", "La", "Pt", "Pt", "O", "O"], "frac_coords": [[0.067, 0.125, 0.442], [0.375, 0.933, 0.058], [0.683, 0.625, 0.558], [0.875, 0.317, 0.942], [0.250, 0.750, 0.500], [0.500, 0.500, 0.000], [0.000, 0.000, 0.000], [0.750, 0.250, 0.500]]}

=====

{"formula": "InPb2Au", "functional": "PBE", "state": "optimized geometry", "magnetic_moment_mub_per_atom": 0.0000, "dos_ef_per_ev_fu": 1.4, "e_tot_ev_per_fu": -13.43, "sg": "No. 12", "lattice": [[6.223, -1.745, 0.000], [6.223, 1.745, 0.000], [-2.241, 0.000, 5.030]], "species": ["In", "Pb", "Pb", "Au"], "frac_coords": [[0.000, 0.000, 0.000], [0.216, 0.216, 0.718], [0.784, 0.784, 0.282], [0.500, 0.500, 0.500]]}

=====

{"formula": "Nb2RuCI", "functional": "PBE", "state": "optimized geometry", "magnetic_moment_mub_per_atom": 0.0000, "dos_ef_per_ev_fu": 5.7, "e_tot_ev_per_fu": -25.57, "sg": "No. 123", "raw_formation_energy_mev_per_atom": 2925, "lattice": [[5.029, 0.000, 0.000], [0.000, 5.029, 0.000], [0.000, 0.000, 4.696]], "species": ["Nb", "Nb", "Ru", "C", "I"], "frac_coords": [[0.000, 0.500, 0.000], [0.500, 0.000, 0.000], [0.000, 0.000, 0.500], [0.500, 0.500, 0.500], [0.000, 0.000, 0.000]]}

=====

{"formula": "Pr8Cu2Pt", "functional": "PBE", "state": "optimized geometry", "magnetic_moment_mub_per_atom": 0.0000, "dos_ef_per_ev_fu": 10.8, "e_tot_ev_per_fu": -54.94, "sg": "No. 12", "lattice": [[9.103, -2.609, 0.000], [9.103, 2.609, 0.000], [-1.360, 0.000, 6.814]], "species": ["Pr", "Pr", "Pr", "Pr", "Pr", "Pr", "Pr", "Pr", "Cu", "Cu", "Pt"], "frac_coords": [[0.032, 0.032, 0.281], [0.200, 0.200, 0.842], [0.335, 0.335, 0.528], [0.411, 0.411, 0.056], [0.589, 0.589, 0.944], [0.665, 0.665, 0.472], [0.800, 0.800, 0.158], [0.968, 0.968, 0.719], [0.191, 0.191, 0.249], [0.809, 0.809, 0.751], [0.500, 0.500, 0.500]]}

=====

{"formula": "Pr2InGa12", "functional": "PBE", "state": "optimized geometry", "magnetic_moment_mub_per_atom": 0.0000, "dos_ef_per_ev_fu": 5.7, "e_tot_ev_per_fu": -52.72, "sg": "No. 125", "lattice": [[6.020, 0.000, 0.000], [0.000, 6.020, 0.000], [0.000, 0.000, 17.499]], "species": ["Pr", "Pr", "Pr", "Pr", "In", "In", "Ga", "Ga", "Ga", "Ga", "Ga", "Ga", "Ga", "Ga", "Ga", "Ga", "Ga", "Ga", "Ga", "Ga", "Ga", "Ga", "Ga", "Ga", "Ga", "Ga", "Ga", "Ga", "Ga", "Ga"], "frac_coords": [[0.250, 0.750, 0.222], [0.250, 0.750, 0.778], [0.750, 0.250, 0.222], [0.750, 0.250, 0.778], [0.250, 0.750, 0.500], [0.750, 0.250, 0.500], [0.002, 0.502, 0.384], [0.002, 0.998, 0.616], [0.066, 0.566, 0.935], [0.066, 0.934, 0.065], [0.250, 0.250, 0.149], [0.250, 0.250, 0.293], [0.250, 0.250, 0.707], [0.250, 0.250, 0.851], [0.434, 0.566, 0.065], [0.434, 0.934, 0.935], [0.498, 0.502, 0.616], [0.498, 0.998, 0.384], [0.502, 0.002, 0.616], [0.502, 0.498, 0.384], [0.566, 0.066, 0.065], [0.566, 0.434, 0.935], [0.750, 0.750, 0.149], [0.750, 0.750, 0.293], [0.750, 0.750, 0.707], [0.750, 0.750, 0.851], [0.934, 0.066, 0.935], [0.934, 0.434, 0.065], [0.998, 0.002, 0.384], [0.998, 0.498, 0.616]]}

=====

{"formula": "BeZnTe2", "functional": "PBE", "state": "optimized geometry", "magnetic_moment_mub_per_atom": 0.0000, "dos_ef_per_ev_fu": 2.4, "e_tot_ev_per_fu": -10.26, "sg": "No. 47", "raw_formation_energy_mev_per_atom": 257, "polymorph_energy_mev_per_atom": 664, "lattice": [[3.724, 0.000, 0.000], [0.000, 3.742, 0.000], [0.000, 0.000, 9.075]], "species": ["Be", "Zn", "Te", "Te"], "frac_coords": [[0.000, 0.000, 0.000], [0.000, 0.500, 0.500], [0.500, 0.000, 0.500], [0.500, 0.500, 0.000]]}

=====

{"formula": "Pm6Nd3SmY2", "functional": "PBE", "state": "optimized geometry", "magnetic_moment_mub_per_atom": 0.0000, "dos_ef_per_ev_fu": 17.3, "e_tot_ev_per_fu": -60.30, "sg": "No. 12", "lattice": [[3.159, -5.471, 0.000], [3.159, 5.471, 0.000], [-2.108, 0.000, 11.892]], "species": ["Pm", "Pm", "Pm", "Pm", "Pm", "Pm", "Nd", "Nd", "Nd", "Sm", "Y", "Y"], "frac_coords": [[0.083, 0.416, 0.247], [0.250, 0.250, 0.752], [0.416, 0.083, 0.247], [0.584, 0.917, 0.753], [0.750, 0.750, 0.248], [0.917, 0.584, 0.753], [0.167, 0.833, 0.500], [0.500, 0.500, 0.500], [0.833, 0.167, 0.500], [0.000, 0.000, 0.000], [0.333, 0.667, 0.000], [0.667, 0.333, 0.000]]}

=====

{"formula": "Li3In2Cu2", "functional": "PBE", "state": "optimized geometry", "magnetic_moment_mub_per_atom": 0.0000, "dos_ef_per_ev_fu": 2.7, "e_tot_ev_per_fu": -20.79, "sg": "No. 12", "lattice": [[3.916, -2.246, 0.000], [3.916, 2.246, 0.000], [-2.571, 0.000, 6.498]], "species": ["Li", "Li", "Li", "In", "In", "Cu", "Cu"], "frac_coords": [[0.000, 0.000, 0.000], [0.148, 0.148, 0.442], [0.852, 0.852, 0.558], [0.421, 0.421, 0.261], [0.579, 0.579, 0.739], [0.282, 0.282, 0.848], [0.718, 0.718, 0.152]]}

=====

Copy entry 7 word for word.
{"formula": "Pm6Nd3SmY2", "functional": "PBE", "state": "optimized geometry", "magnetic_moment_mub_per_atom": 0.0000, "dos_ef_per_ev_fu": 17.3, "e_tot_ev_per_fu": -60.30, "sg": "No. 12", "lattice": [[3.159, -5.471, 0.000], [3.159, 5.471, 0.000], [-2.108, 0.000, 11.892]], "species": ["Pm", "Pm", "Pm", "Pm", "Pm", "Pm", "Nd", "Nd", "Nd", "Sm", "Y", "Y"], "frac_coords": [[0.083, 0.416, 0.247], [0.250, 0.250, 0.752], [0.416, 0.083, 0.247], [0.584, 0.917, 0.753], [0.750, 0.750, 0.248], [0.917, 0.584, 0.753], [0.167, 0.833, 0.500], [0.500, 0.500, 0.500], [0.833, 0.167, 0.500], [0.000, 0.000, 0.000], [0.333, 0.667, 0.000], [0.667, 0.333, 0.000]]}